Entry 1:
TlZn3Cr: optimized geometry, PBE.

Summary:
As for the crystal system: cubic. As for the formation energy: 578.6 meV/atom. Its energy above the most stable polymorph in this dataset is 0.000 eV/atom.

Cell lengths 4.971, 4.971, 4.971 Å; angles 90.00, 90.00, 90.00 degrees
Fractional positions:
1 Tl 0.000 0.000 0.000
2 Zn 0.000 0.500 0.500
3 Zn 0.500 0.000 0.500
4 Zn 0.500 0.500 0.000
5 Cr 0.500 0.500 0.500



Entry 2:
AlTl2Au: optimized geometry, PBE.

Summary:
As for the crystal system: monoclinic. As for the formation energy: 11.0 meV/atom. Its energy above the most stable polymorph in this dataset is 0.065 eV/atom.

Cell lengths 4.491, 4.068, 5.893 Å; angles 90.00, 112.40, 90.00 degrees
Fractional positions:
1 Al 0.000 0.000 0.000
2 Tl 0.286 0.000 0.551
3 Tl 0.583 0.500 0.160
4 Au 0.874 0.500 0.719



Entry 3:
TlRh3Cl: optimized geometry, PBE.

Summary:
As for the crystal system: cubic. The value obtained for the raw formation energy is 639 meV/atom. Its energy above the most stable polymorph in this dataset is 0.000 eV/atom.

Cell lengths 4.480, 4.480, 4.480 Å; angles 90.00, 90.00, 90.00 degrees
Fractional positions:
1 Tl 0.000 0.000 0.000
2 Rh 0.000 0.500 0.500
3 Rh 0.500 0.000 0.500
4 Rh 0.500 0.500 0.000
5 Cl 0.500 0.500 0.500



Entry 4:
NaSr2InS: optimized geometry, PBE.

Summary:
As for the crystal system: tetragonal. The value obtained for the raw formation energy is -800 meV/atom.

Cell lengths 5.794, 5.794, 5.216 Å; angles 90.00, 90.00, 90.00 degrees
Fractional positions:
1 Na 0.000 0.000 0.000
2 Sr 0.000 0.500 0.500
3 Sr 0.500 0.000 0.500
4 In 0.500 0.500 0.000
5 S 0.000 0.000 0.500



Calculated Fermi-level density of states (states/eV/cell), listed in the same order as above: 3.5 1.4 4.8 5.3
Calculated electronic total energy (eV per atom), listed in the same order as above: -2.58 -2.93 -4.61 -3.11
Calculated total magnetic moment (μB per cell), listed in the same order as above: 3.92 0.00 0.00 0.57